# 1
The following is a PBEsol calculation of a relaxed YAsC3 crystal, from Alexandria.

Lattice parameters (Å, degrees): 4.3844 4.3844 4.3844 90.00 90.00 90.00
With the nearest neighbours (Å) after each atom.
Atoms (fractional coordinates):
Y1 0.0000 0.0000 0.0000  6 C 2.19
As1 0.5000 0.5000 0.5000  12 C 3.10
C1 0.0000 0.0000 0.5000  2 Y 2.19
C2 0.0000 0.5000 0.0000  2 Y 2.19
C3 0.5000 0.0000 0.0000  2 Y 2.19

Values from the calculation:
Space group   No. 221
Energy relative to the elements   2861 meV per atom

=====

# 2
The following is a PBEsol calculation of a relaxed YAs2C crystal, from Alexandria.

Lattice parameters (Å, degrees): 5.7533 5.7533 5.7533 113.31 113.31 102.05
With the nearest neighbours (Å) after each atom.
Atoms (fractional coordinates):
Y1 0.0000 0.0000 0.0000  4 As 2.89
Y2 0.7500 0.2500 0.5000  4 As 2.89
As1 0.2293 0.6250 0.1043  2 C 2.04
As2 0.3750 0.4793 0.6043  2 C 2.04
As3 0.5207 0.1250 0.8957  2 C 2.04
As4 0.8750 0.7707 0.3957  2 C 2.04
C1 0.2500 0.7500 0.5000  4 As 2.04
C2 0.5000 0.5000 0.0000  4 As 2.04

Values from the calculation:
Space group   No. 122
Energy relative to the elements   113 meV per atom

=====

# 3
The following is a PBEsol calculation of a relaxed CaAs crystal, from Alexandria.

Lattice parameters (Å, degrees): 5.0469 5.0469 5.0469 60.00 60.00 60.00
With the nearest neighbours (Å) after each atom.
Atoms (fractional coordinates):
Ca1 0.1250 0.1250 0.1250  4 As 3.09, 4 Ca 3.09
Ca2 0.8750 0.8750 0.8750  4 Ca 3.09, 4 As 3.09
As1 0.3750 0.3750 0.3750  4 Ca 3.09, 4 As 3.09
As2 0.6250 0.6250 0.6250  4 Ca 3.09, 4 As 3.09

Values from the calculation:
Space group   No. 227
Energy relative to the elements   -327 meV per atom